CsHoCrO4 PBE+U optimized geometry; spin magnetization = 4.0 μB per cell; total DFT energy (no corrections) = -6.97 eV per atom; symmetry = P2_1/m (11)
1.0
5.849 0.000 0.000
0.000 5.960 0.000
-2.641 0.000 7.650
Cs Ho Cr O
2 2 2 8
Cartesian
0.041 1.490 3.325
3.166 4.470 4.325
-0.729 1.490 7.364
3.937 4.470 0.285
0.972 4.470 1.128
2.236 1.490 6.522
-2.369 4.470 7.170
-0.492 4.470 2.141
2.245 3.133 1.214
2.245 5.807 1.214
0.963 0.153 6.436
0.963 2.827 6.436
3.699 1.490 5.509
5.577 1.490 0.480